1.
Here is crystalline ThNb2S6 at its relaxed geometry from the Alexandria database. Energies are from GGA-PBE.

Properties
Theoretical density: 4.7 g/cm3

a b c (Å): 13.311 4.375 9.964
angles (deg): 90.00 131.56 90.00
Space group C2/m (No. 12)
Symmetry-distinct sites (fractional):
1 Th 0.000 0.000 0.000
2 Nb 0.017 0.500 0.364
3 S 0.100 0.000 0.365
4 S 0.113 0.500 0.969
5 S 0.180 0.500 0.689

***

2.
Here is crystalline ThNb4S8 at its relaxed geometry from the Alexandria database. Energies are from GGA-PBE.

Properties
Theoretical density: 5.1 g/cm3

a b c (Å): 11.870 6.957 8.739
angles (deg): 90.00 128.81 90.00
Space group C2/m (No. 12)
Symmetry-distinct sites (fractional):
1 Th 0.000 0.000 0.000
2 Nb 0.000 0.298 0.500
3 Nb 0.220 0.500 0.490
4 S 0.000 0.000 0.317
5 S 0.044 0.500 0.765
6 S 0.228 0.252 0.270

***

3.
Here is crystalline TiNb2S at its relaxed geometry from the Alexandria database. Energies are from GGA-PBE.

Properties
Theoretical density: 5.9 g/cm3

a b c (Å): 3.219 4.658 9.924
angles (deg): 90.00 90.00 90.00
Space group Immm (No. 71)
Symmetry-distinct sites (fractional):
1 Ti 0.000 0.000 0.000
2 Nb 0.000 0.500 0.235
3 S 0.000 0.500 0.000

***

4.
Here is crystalline Ti2NbS at its relaxed geometry from the Alexandria database. Energies are from GGA-PBE.

Properties
Theoretical density: 5.3 g/cm3

a b c (Å): 7.510 7.510 4.943
angles (deg): 90.00 90.00 90.00
Space group I-42d (No. 122)
Symmetry-distinct sites (fractional):
1 Ti 0.166 0.750 0.125
2 Nb 0.000 0.000 0.500
3 S 0.000 0.000 0.000

***

5.
Here is crystalline Ti3NbS at its relaxed geometry from the Alexandria database. Energies are from GGA-PBE.

Properties
Energy above the lowest structure with this stoichiometry: 1548 meV per atom
Theoretical density: 4.0 g/cm3

a b c (Å): 4.811 4.811 4.811
angles (deg): 90.00 90.00 90.00
Space group Pm-3m (No. 221)
Symmetry-distinct sites (fractional):
1 Ti 0.000 0.000 0.500
2 Nb 0.000 0.000 0.000
3 S 0.500 0.500 0.500

***

6.
Here is crystalline TiNb4S8 at its relaxed geometry from the Alexandria database. Energies are from GGA-PBE.

Properties
Energy above the lowest structure with this stoichiometry: 177 meV per atom
Theoretical density: 4.7 g/cm3

a b c (Å): 6.7991 6.7991 17.8102
angles (deg): 90.00 90.00 120.00
Space group R-3m (No. 166, hexagonal axes)
Symmetry-distinct sites (fractional):
1 Ti 0.0000 0.0000 0.0000
2 Nb 0.0000 0.0000 0.5000
3 Nb 0.0000 0.5000 0.5000
4 S 0.0000 0.0000 0.2526
5 S 0.0073 0.5037 0.2555

***

7.
Here is crystalline TiNb2S3 at its relaxed geometry from the Alexandria database. Energies are from GGA-PBE.

Properties
Theoretical density: 5.9 g/cm3

a b c (Å): 5.7043 5.7043 6.5970
angles (deg): 90.00 90.00 120.00
Space group P6_3/mcm (No. 193)
Symmetry-distinct sites (fractional):
1 Ti 0.0000 0.0000 0.0000
2 Nb 0.3333 0.6667 0.0000
3 S 0.0000 0.3249 0.2500

***

8.
Here is crystalline TiNbS at its relaxed geometry from the Alexandria database. Energies are from GGA-PBE.

Properties
Energy above the lowest structure with this stoichiometry: 0 meV per atom
Theoretical density: 6.0 g/cm3

a b c (Å): 3.322 5.246 10.932
angles (deg): 90.00 90.00 90.00
Space group Immm (No. 71)
Symmetry-distinct sites (fractional):
1 Ti 0.000 0.000 0.206
2 Nb 0.000 0.257 0.500
3 S 0.000 0.500 0.138

***

Number 1: raw formation energy -1.1516 eV/atom. Number 2: raw formation energy -1.2450 eV/atom. Number 3: raw formation energy -0.1691 eV/atom. Number 4: raw formation energy -0.2899 eV/atom. Number 5: raw formation energy 1.0385 eV/atom. Number 6: raw formation energy -1.0546 eV/atom. Number 7: raw formation energy -1.0904 eV/atom. Number 8: raw formation energy -0.6734 eV/atom.